The following is a DFT calculation (PBE) of a geometry-optimized Y2Er2Ga4Au structure.

Properties
Total moment ... 0.00 μB/cell
Total energy ... -4.52 eV/atom
Space group ... No. 139
ΔE_f ... -0.356 eV/atom

Cell: 6.6353 6.6353 6.6353 Å, 116.11 116.11 96.89°
Closest atoms and distances in Å follow each position.
Fractional positions:
Y: 0.2500 0.7500 0.5000  8 Ga 3.32, 4 Er 3.56
Y: 0.7500 0.2500 0.5000  8 Ga 3.32, 4 Er 3.56
Er: 0.1857 0.1857 0.0000  1 Au 2.77, 4 Ga 2.94
Er: 0.8143 0.8143 0.0000  1 Au 2.77, 4 Ga 2.94
Ga: 0.2455 0.2455 0.4909  1 Au 2.53
Ga: 0.2455 0.7545 0.0000  1 Au 2.53
Ga: 0.7545 0.2455 0.0000  1 Au 2.53
Ga: 0.7545 0.7545 0.5091  1 Au 2.53
Au: 0.5000 0.5000 0.0000  4 Ga 2.53, 2 Er 2.77